# La2Co2O5 | OQMD via LeMat-Bulk | PBE+U | optimized geometry
data_La2Co2O5
_chemical_formula_sum 'La8 Co8 O20'
_cell_length_a 5.429
_cell_length_b 15.690
_cell_length_c 5.735
_cell_angle_alpha 90.00
_cell_angle_beta 90.00
_cell_angle_gamma 90.00
_space_group_name_H-M_alt 'P n m a'
_space_group_IT_number 62
loop_
_space_group_symop_operation_xyz
'x,y,z'
'-x,-y,-z'
'-x+1/2,-y,z+1/2'
'x+1/2,y,-z+1/2'
'x+1/2,-y+1/2,-z+1/2'
'-x+1/2,y+1/2,z+1/2'
'-x,y+1/2,-z'
'x,-y+1/2,z'
loop_
_atom_site_label
_atom_site_type_symbol
_atom_site_fract_x
_atom_site_fract_y
_atom_site_fract_z
La1 La 0.012 0.111 0.019
Co1 Co 0.000 0.000 0.500
Co2 Co 0.043 0.250 0.558
O1 O 0.035 0.641 0.582
O2 O 0.086 0.750 0.115
O3 O 0.241 0.518 0.241
# - Theoretical density: 6.47 Mg/m³
# - Size of the total moment: 24.00 μB/cell

# La3CoO6 | OQMD via LeMat-Bulk | PBE+U | optimized geometry
data_La3CoO6
_chemical_formula_sum 'La12 Co4 O24'
_cell_length_a 9.371
_cell_length_b 11.749
_cell_length_c 5.658
_cell_angle_alpha 90.00
_cell_angle_beta 90.00
_cell_angle_gamma 90.00
_space_group_name_H-M_alt 'C m c 21'
_space_group_IT_number 36
loop_
_space_group_symop_operation_xyz
'x,y,z'
'-x,-y,z+1/2'
'-x,y,z'
'x,-y,z+1/2'
'x+1/2,y+1/2,z'
'-x+1/2,-y+1/2,z+1/2'
'-x+1/2,y+1/2,z'
'x+1/2,-y+1/2,z+1/2'
loop_
_atom_site_label
_atom_site_type_symbol
_atom_site_fract_x
_atom_site_fract_y
_atom_site_fract_z
La1 La 0.000 0.106 0.000
La2 La 0.196 0.390 0.041
Co1 Co 0.000 0.313 0.575
O1 O 0.000 0.284 0.257
O2 O 0.000 0.453 0.724
O3 O 0.152 0.240 0.747
O4 O 0.159 0.012 0.273
# - Theoretical density: 6.10 Mg/m³
# - Size of the total moment: 16.01 μB/cell

# La2Co2O5 | OQMD via LeMat-Bulk | PBE+U | optimized geometry
data_La2Co2O5
_chemical_formula_sum 'La2 Co2 O5'
_cell_length_a 3.926
_cell_length_b 3.926
_cell_length_c 7.398
_cell_angle_alpha 90.00
_cell_angle_beta 90.00
_cell_angle_gamma 90.00
_space_group_name_H-M_alt 'P 4/m m m'
_space_group_IT_number 123
_space_group_name_Hall '-P 4 2'
loop_
_atom_site_label
_atom_site_type_symbol
_atom_site_fract_x
_atom_site_fract_y
_atom_site_fract_z
La1 La 0.000 0.000 0.000
La2 La 0.000 0.000 0.500
Co1 Co 0.500 0.500 0.230
O1 O 0.000 0.500 0.216
O2 O 0.500 0.500 0.500
# - Theoretical density: 6.93 Mg/m³
# - Size of the total moment: 1.89 μB/cell

# La3CoO6 | OQMD via LeMat-Bulk | PBE+U | optimized geometry
data_La3CoO6
_chemical_formula_sum 'La12 Co4 O24'
_cell_length_a 9.341
_cell_length_b 11.723
_cell_length_c 5.663
_cell_angle_alpha 90.00
_cell_angle_beta 90.00
_cell_angle_gamma 90.00
_space_group_name_H-M_alt 'C m c 21'
_space_group_IT_number 36
loop_
_space_group_symop_operation_xyz
'x,y,z'
'-x,-y,z+1/2'
'-x,y,z'
'x,-y,z+1/2'
'x+1/2,y+1/2,z'
'-x+1/2,-y+1/2,z+1/2'
'-x+1/2,y+1/2,z'
'x+1/2,-y+1/2,z+1/2'
loop_
_atom_site_label
_atom_site_type_symbol
_atom_site_fract_x
_atom_site_fract_y
_atom_site_fract_z
La1 La 0.000 0.106 0.000
La2 La 0.197 0.390 0.960
Co1 Co 0.000 0.314 0.427
O1 O 0.000 0.283 0.744
O2 O 0.000 0.454 0.284
O3 O 0.153 0.240 0.254
O4 O 0.159 0.012 0.726
# - Theoretical density: 6.12 Mg/m³
# - Size of the total moment: 16.01 μB/cell

# La2CoPtO6 | OQMD via LeMat-Bulk | PBE+U | optimized geometry
data_La2CoPtO6
_chemical_formula_sum 'La4 Co2 Pt2 O12'
_cell_length_a 5.556
_cell_length_b 5.719
_cell_length_c 9.642
_cell_angle_alpha 90.00
_cell_angle_beta 125.19
_cell_angle_gamma 90.00
_space_group_name_H-M_alt 'P 1 21/c 1'
_space_group_IT_number 14
loop_
_space_group_symop_operation_xyz
'x,y,z'
'-x,-y,-z'
'-x,y+1/2,-z+1/2'
'x,-y+1/2,z+1/2'
loop_
_atom_site_label
_atom_site_type_symbol
_atom_site_fract_x
_atom_site_fract_y
_atom_site_fract_z
La1 La 0.237 0.053 0.250
Co1 Co 0.500 0.000 0.000
Pt1 Pt 0.000 0.000 0.500
O1 O 0.150 0.206 0.950
O2 O 0.252 0.701 0.954
O3 O 0.342 0.024 0.750
# - Theoretical density: 8.33 Mg/m³
# - Size of the total moment: 6.00 μB/cell

# RbLaCoO3 | OQMD via LeMat-Bulk | PBE+U | optimized geometry
data_RbLaCoO3
_chemical_formula_sum 'Rb4 La4 Co4 O12'
_cell_length_a 3.672
_cell_length_b 12.216
_cell_length_c 9.721
_cell_angle_alpha 90.00
_cell_angle_beta 90.00
_cell_angle_gamma 90.00
_space_group_name_H-M_alt 'C m c m'
_space_group_IT_number 63
_space_group_name_Hall '-C 2c 2'
loop_
_atom_site_label
_atom_site_type_symbol
_atom_site_fract_x
_atom_site_fract_y
_atom_site_fract_z
Rb1 Rb 0.000 0.236 0.250
La1 La 0.000 0.500 0.000
Co1 Co 0.000 0.037 0.750
O1 O 0.000 0.111 0.575
O2 O 0.000 0.454 0.750
# - Theoretical density: 5.05 Mg/m³
# - Size of the total moment: 11.99 μB/cell

# La5CoRe3O16 | OQMD via LeMat-Bulk | PBE+U | optimized geometry
data_La5CoRe3O16
_chemical_formula_sum 'La5 Co1 Re3 O16'
_cell_length_a 5.631
_cell_length_b 5.642
_cell_length_c 10.120
_cell_angle_alpha 93.54
_cell_angle_beta 93.32
_cell_angle_gamma 90.67
_space_group_name_H-M_alt 'P -1'
_space_group_IT_number 2
loop_
_space_group_symop_operation_xyz
'x,y,z'
'-x,-y,-z'
loop_
_atom_site_label
_atom_site_type_symbol
_atom_site_fract_x
_atom_site_fract_y
_atom_site_fract_z
La1 La 0.000 0.000 0.000
La2 La 0.035 0.509 0.706
La3 La 0.486 0.972 0.300
Co1 Co 0.500 0.500 0.500
Re1 Re 0.000 0.000 0.500
Re2 Re 0.445 0.445 0.106
O1 O 0.068 0.076 0.685
O2 O 0.181 0.289 0.465
O3 O 0.217 0.696 0.133
O4 O 0.223 0.217 0.177
O5 O 0.296 0.774 0.864
O6 O 0.303 0.811 0.500
O7 O 0.310 0.303 0.932
O8 O 0.456 0.452 0.698
# - Theoretical density: 8.13 Mg/m³
# - Size of the total moment: 1.01 μB/cell

# La2Co2Se2O3 | OQMD via LeMat-Bulk | PBE+U | optimized geometry
data_La2Co2Se2O3
_chemical_formula_sum 'La4 Co4 Se4 O6'
_cell_length_a 4.086
_cell_length_b 4.086
_cell_length_c 18.265
_cell_angle_alpha 90.00
_cell_angle_beta 90.00
_cell_angle_gamma 90.00
_space_group_name_H-M_alt 'I 4/m m m'
_space_group_IT_number 139
_space_group_name_Hall '-I 4 2'
loop_
_atom_site_label
_atom_site_type_symbol
_atom_site_fract_x
_atom_site_fract_y
_atom_site_fract_z
La1 La 0.000 0.000 0.183
Co1 Co 0.000 0.500 0.000
Se1 Se 0.000 0.000 0.404
O1 O 0.000 0.000 0.000
O2 O 0.000 0.500 0.250
# - Theoretical density: 6.55 Mg/m³
# - Size of the total moment: 12.00 μB/cell

| no. | VASP energy (eV per atom) |
| --- | --- |
| 1 | -7.30 |
| 2 | -7.82 |
| 3 | -7.08 |
| 4 | -7.82 |
| 5 | -7.23 |
| 6 | -6.35 |
| 7 | -8.36 |
| 8 | -6.62 |